1.
The following is a PBE calculation of an optimized crystal structure of Ho2PuPaSe4, from Alexandria.

Output
Formation energy without anion corrections   -1.546 eV/atom

```
8
Lattice="6.9908 0.0000 0.0000 0.0000 4.0072 0.0000 -2.3017 0.0000 6.8510" Properties=species:S:1:pos:R:3 pbc="T T T"
Ho 0.0000 0.0000 0.0000
Ho 3.4954 2.0036 0.0000
Pu -1.1508 2.0036 3.4255
Pa 2.3446 0.0000 3.4255
Se 1.1738 2.0036 1.6612
Se 0.0264 0.0000 5.1875
Se 4.6627 0.0000 1.6635
Se 3.5153 2.0036 5.1898
```

2.
The following is a PBE calculation of an optimized crystal structure of HoPuPaSn, from Alexandria.

Output
Total DFT energy (no corrections)   -8.15 eV per atom

```
4
Lattice="0.0000 3.7080 3.7080 3.7080 0.0000 3.7080 3.7080 3.7080 0.0000" Properties=species:S:1:pos:R:3 pbc="T T T"
Ho 0.0000 0.0000 0.0000
Pu 3.7080 3.7080 3.7080
Pa 5.5620 5.5620 5.5620
Sn 1.8540 1.8540 1.8540
```

3.
The following is a PBE calculation of an optimized crystal structure of HoPu2PaTe5, from Alexandria.

Output
Formation energy without anion corrections   -0.463 eV/atom

```
9
Lattice="5.6267 0.0000 0.0000 0.0000 5.6267 0.0000 0.0000 0.0000 11.5201" Properties=species:S:1:pos:R:3 pbc="T T T"
Ho 0.0000 0.0000 0.0000
Pu 2.8133 2.8133 3.8276
Pu 2.8133 2.8133 7.6925
Pa 0.0000 0.0000 5.7600
Te 0.0000 0.0000 2.8150
Te 0.0000 0.0000 8.7051
Te 0.0000 2.8133 5.7600
Te 2.8133 0.0000 5.7600
Te 2.8133 2.8133 0.0000
```

4.
The following is a PBE calculation of an optimized crystal structure of HoPuPaTl, from Alexandria.

Output
Total DFT energy (no corrections)   -7.48 eV per atom

```
4
Lattice="0.0000 3.7329 3.7329 3.7329 0.0000 3.7329 3.7329 3.7329 0.0000" Properties=species:S:1:pos:R:3 pbc="T T T"
Ho 0.0000 0.0000 0.0000
Pu 3.7329 3.7329 3.7329
Pa 1.8664 1.8664 1.8664
Tl 5.5993 5.5993 5.5993
```

5.
The following is a PBE calculation of an optimized crystal structure of Rb3Ho3PaS8, from Alexandria.

Output
Formation energy without anion corrections   -1.818 eV/atom

```
15
Lattice="4.0416 2.3334 7.8106 -4.0416 2.3334 7.8106 0.0000 -4.6668 7.8106" Properties=species:S:1:pos:R:3 pbc="T T T"
Rb -2.0208 -1.1667 7.8106
Rb -2.0208 1.1667 15.6213
Rb 0.0000 2.3334 7.8106
Ho -4.0416 0.0000 11.7159
Ho -2.0208 1.1667 3.9053
Ho 2.0208 1.1667 3.9053
Pa 0.0000 0.0000 11.7160
S 0.0000 0.0000 5.3802
S -2.0102 -1.1606 13.1756
S 0.0000 -2.3211 10.2563
S -2.0102 1.1606 10.2563
S 2.0102 -1.1606 13.1756
S 0.0000 2.3211 13.1756
S 2.0102 1.1606 10.2563
S 0.0000 0.0000 18.0517
```

6.
The following is a PBE calculation of an optimized crystal structure of Rb2HoPaS4, from Alexandria.

Output
Formation energy without anion corrections   -1.626 eV/atom

```
8
Lattice="7.0525 0.0000 0.0000 0.0000 4.0333 0.0000 -2.3088 0.0000 7.7488" Properties=species:S:1:pos:R:3 pbc="T T T"
Rb 0.0000 0.0000 0.0000
Rb 3.5262 2.0167 0.0000
Ho -1.1544 2.0167 3.8744
Pa 2.3719 0.0000 3.8744
S 0.0296 0.0000 5.3700
S 1.1711 2.0167 2.3561
S 3.5726 2.0167 5.3927
S 4.7141 0.0000 2.3788
```

7.
The following is a PBE calculation of an optimized crystal structure of RbHoPaS4, from Alexandria.

Output
Formation energy without anion corrections   -1.670 eV/atom

```
14
Lattice="-4.2207 4.2758 5.9740 4.2207 -4.2758 5.9740 4.2207 4.2758 -5.9740" Properties=species:S:1:pos:R:3 pbc="T T T"
Rb 0.0000 2.1379 1.5457
Rb 4.2207 2.1379 4.4284
Ho 2.1104 2.1379 -2.9870
Ho 2.1104 -2.1379 2.9870
Pa 4.2207 0.0000 0.0000
Pa 0.0000 0.0000 5.9740
S 4.2207 -0.3707 2.7086
S 4.2207 3.9051 -2.7086
S 2.4828 2.1379 -0.2320
S 5.9586 2.1379 -0.2320
S -1.7379 2.1379 6.2060
S 1.7379 2.1379 6.2060
S 0.0000 0.3707 8.6826
S 0.0000 4.6465 3.2654
```

8.
The following is a PBE calculation of an optimized crystal structure of Rb4Ho3PaS8, from Alexandria.

Output
Formation energy without anion corrections   -1.730 eV/atom

```
16
Lattice="4.0685 2.3489 7.6980 -4.0685 2.3489 7.6980 0.0000 -4.6978 7.6980" Properties=species:S:1:pos:R:3 pbc="T T T"
Rb 0.0000 0.0000 0.0000
Rb -2.0342 -1.1745 7.6980
Rb -2.0342 1.1745 15.3961
Rb 0.0000 2.3489 7.6980
Ho -4.0685 0.0000 11.5470
Ho -2.0342 1.1745 3.8490
Ho 2.0342 1.1745 3.8490
Pa 0.0000 0.0000 11.5470
S -2.0377 -1.1765 13.0331
S 0.0000 0.0000 5.3232
S 0.0000 -2.3530 10.0610
S -2.0377 1.1765 10.0610
S 2.0377 -1.1765 13.0331
S 0.0000 2.3530 13.0331
S 0.0000 0.0000 17.7709
S 2.0377 1.1765 10.0610
```

9.
The following is a PBE calculation of an optimized crystal structure of Rb3Ho2PaSe6, from Alexandria.

Output
Formation energy without anion corrections   -1.564 eV/atom

```
12
Lattice="3.6606 -6.3398 0.0000 3.6606 6.3398 0.0000 -2.4397 0.0000 8.0317" Properties=species:S:1:pos:R:3 pbc="T T T"
Rb 0.0000 0.0000 0.0000
Rb 3.6606 2.1193 0.0000
Rb 3.6606 -2.1193 0.0000
Ho 2.4407 4.2275 4.0159
Ho 2.4407 -4.2275 4.0159
Pa 2.4407 0.0000 4.0159
Se 1.2167 2.1199 2.4334
Se -0.0067 0.0000 5.5997
Se 1.2167 -2.1199 2.4334
Se 3.6647 2.1199 5.5984
Se 4.8882 0.0000 2.4320
Se 3.6647 -2.1199 5.5984
```

10.
The following is a PBE calculation of an optimized crystal structure of Rb3HoPa3Se8, from Alexandria.

Output
Formation energy without anion corrections   -1.435 eV/atom

```
15
Lattice="4.1613 2.4025 8.2604 -4.1613 2.4025 8.2604 0.0000 -4.8050 8.2604" Properties=species:S:1:pos:R:3 pbc="T T T"
Rb -2.0806 -1.2013 8.2604
Rb -2.0806 1.2013 16.5209
Rb 0.0000 2.4025 8.2604
Ho 0.0000 0.0000 12.3907
Pa -4.1613 0.0000 12.3907
Pa -2.0806 1.2013 4.1302
Pa 2.0806 1.2013 4.1302
Se -2.0741 -1.1975 14.0056
Se 0.0000 0.0000 5.7976
Se 0.0000 -2.3950 10.7757
Se -2.0741 1.1975 10.7757
Se 2.0741 -1.1975 14.0056
Se 0.0000 2.3950 14.0056
Se 0.0000 0.0000 18.9837
Se 2.0741 1.1975 10.7757
```

11.
The following is a PBE calculation of an optimized crystal structure of Rb4Ho3PaSe8, from Alexandria.

Output
Formation energy without anion corrections   -1.605 eV/atom

```
16
Lattice="4.2319 2.4433 8.0211 -4.2319 2.4433 8.0211 0.0000 -4.8866 8.0211" Properties=species:S:1:pos:R:3 pbc="T T T"
Rb 0.0000 0.0000 0.0000
Rb -2.1160 -1.2216 8.0211
Rb -2.1159 1.2216 16.0422
Rb 0.0000 2.4433 8.0211
Ho -4.2319 0.0000 12.0316
Ho -2.1159 1.2216 4.0105
Ho 2.1160 1.2216 4.0105
Pa 0.0000 0.0000 12.0316
Se -2.1277 -1.2285 13.6125
Se 0.0000 0.0000 5.5734
Se 0.0000 -2.4569 10.4507
Se -2.1277 1.2285 10.4507
Se 2.1277 -1.2284 13.6125
Se 0.0000 2.4569 13.6125
Se 0.0000 0.0000 18.4899
Se 2.1277 1.2285 10.4507
```

12.
The following is a PBE calculation of an optimized crystal structure of Rb3Ho3PaSe8, from Alexandria.

Output
Formation energy without anion corrections   -1.674 eV/atom

```
15
Lattice="4.1970 2.4232 8.1319 -4.1970 2.4232 8.1319 0.0000 -4.8463 8.1319" Properties=species:S:1:pos:R:3 pbc="T T T"
Rb -2.0985 -1.2116 8.1319
Rb -2.0985 1.2116 16.2637
Rb 0.0000 2.4232 8.1319
Ho -4.1970 0.0000 12.1978
Ho -2.0985 1.2116 4.0659
Ho 2.0985 1.2116 4.0659
Pa 0.0000 0.0000 12.1978
Se -2.1005 -1.2127 13.7598
Se 0.0000 0.0000 5.6353
Se 0.0000 -2.4254 10.6358
Se -2.1005 1.2127 10.6358
Se 2.1005 -1.2127 13.7598
Se 0.0000 2.4254 13.7598
Se 0.0000 0.0000 18.7603
Se 2.1005 1.2127 10.6358
```

13.
The following is a PBE calculation of an optimized crystal structure of Rb2Ho2PaSe6, from Alexandria.

Output
Formation energy without anion corrections   -1.655 eV/atom

```
11
Lattice="3.6199 -6.2668 0.0000 3.6199 6.2668 0.0000 -2.4389 0.0000 8.2097" Properties=species:S:1:pos:R:3 pbc="T T T"
Rb 3.6199 4.1665 0.0000
Rb 3.6199 -4.1665 0.0000
Ho 2.4004 2.0890 4.1048
Ho 2.4004 -2.0890 4.1048
Pa -1.2195 0.0000 4.1048
Se -0.0185 2.0834 5.6773
Se 1.1858 0.0000 2.5353
Se -0.0185 -2.0834 5.6773
Se 4.8194 2.0834 2.5323
Se 3.6151 0.0000 5.6744
Se 4.8194 -2.0834 2.5323
```

14.
The following is a PBE calculation of an optimized crystal structure of RbHoPaSe4, from Alexandria.

Output
Formation energy without anion corrections   -1.485 eV/atom

```
14
Lattice="-4.4209 4.5059 6.1685 4.4209 -4.5059 6.1685 4.4209 4.5059 -6.1685" Properties=species:S:1:pos:R:3 pbc="T T T"
Rb 0.0000 2.2529 1.6220
Rb 4.4209 2.2529 4.5465
Ho 2.2105 2.2529 -3.0843
Ho 2.2105 -2.2529 3.0843
Pa 4.4209 0.0000 0.0000
Pa 0.0000 0.0000 6.1685
Se 4.4209 -0.4007 2.8462
Se 4.4209 4.1052 -2.8462
Se 2.5916 2.2529 -0.2002
Se 6.2503 2.2529 -0.2002
Se -1.8293 2.2529 6.3687
Se 1.8293 2.2529 6.3687
Se 0.0000 0.4007 9.0147
Se 0.0000 4.9066 3.3223
```

15.
The following is a PBE calculation of an optimized crystal structure of Rb3Ho3PaTe8, from Alexandria.

Output
Formation energy without anion corrections   -1.270 eV/atom

```
15
Lattice="4.4673 2.5792 8.7086 -4.4673 2.5792 8.7086 0.0000 -5.1584 8.7086" Properties=species:S:1:pos:R:3 pbc="T T T"
Rb -2.2337 -1.2896 8.7086
Rb -2.2337 1.2896 17.4171
Rb 0.0000 2.5792 8.7085
Ho -4.4673 0.0000 13.0628
Ho -2.2337 1.2896 4.3543
Ho 2.2337 1.2896 4.3543
Pa 0.0000 0.0000 13.0628
Te -2.2506 -1.2994 14.7838
Te 0.0000 0.0000 6.0742
Te 0.0000 -2.5988 11.3419
Te -2.2506 1.2994 11.3419
Te 2.2506 -1.2994 14.7838
Te 0.0000 2.5988 14.7838
Te 0.0000 0.0000 20.0514
Te 2.2506 1.2994 11.3419
```

16.
The following is a PBE calculation of an optimized crystal structure of HoPa2Re, from Alexandria.

Output
Energy above the lowest structure with this stoichiometry   161 meV/atom

```
4
Lattice="1.8832 1.0873 8.7885 -1.8832 1.0873 8.7885 0.0000 -2.1745 8.7885" Properties=species:S:1:pos:R:3 pbc="T T T"
Ho 0.0000 0.0000 0.0000
Pa 0.0000 0.0000 6.0743
Pa 0.0000 0.0000 20.2911
Re 0.0000 0.0000 13.1827
```

17.
The following is a PBE calculation of an optimized crystal structure of HoPa2Re9, from Alexandria.

Output
Total DFT energy (no corrections)   -11.36 eV per atom

```
12
Lattice="2.6295 1.5181 9.1793 -2.6295 1.5181 9.1793 0.0000 -3.0363 9.1793" Properties=species:S:1:pos:R:3 pbc="T T T"
Ho 0.0000 0.0000 0.0000
Pa 0.0000 0.0000 4.0412
Pa 0.0000 0.0000 23.4968
Re -1.3323 -0.7692 11.4380
Re 0.0000 0.0000 9.2312
Re 0.0000 -1.5384 16.1000
Re -1.3323 0.7692 16.1000
Re 0.0000 0.0000 13.7690
Re 1.3323 -0.7692 11.4380
Re 0.0000 1.5384 11.4380
Re 0.0000 0.0000 18.3068
Re 1.3323 0.7692 16.1000
```

18.
The following is a PBE calculation of an optimized crystal structure of HoPa2Re, from Alexandria.

Output
Energy above the lowest structure with this stoichiometry   0 meV/atom

```
4
Lattice="3.3084 0.0000 0.0000 0.0000 3.3084 0.0000 0.0000 0.0000 8.9105" Properties=species:S:1:pos:R:3 pbc="T T T"
Ho 0.0000 0.0000 0.0000
Pa 1.6542 1.6542 2.6415
Pa 1.6542 1.6542 6.2690
Re 0.0000 0.0000 4.4553
```

19.
The following is a PBE calculation of an optimized crystal structure of HoPaRe, from Alexandria.

Output
Total DFT energy (no corrections)   -8.84 eV per atom

```
3
Lattice="-1.7355 1.7355 5.6774 1.7355 -1.7355 5.6774 1.7355 1.7355 -5.6774" Properties=species:S:1:pos:R:3 pbc="T T T"
Ho 0.0000 0.0000 0.0000
Pa 0.0000 0.0000 7.9824
Re 0.0000 0.0000 3.7003
```

20.
The following is a PBE calculation of an optimized crystal structure of HoPaReRu, from Alexandria.

Output
Total DFT energy (no corrections)   -9.12 eV per atom

```
4
Lattice="0.0000 3.4298 3.4298 3.4298 0.0000 3.4298 3.4298 3.4298 0.0000" Properties=species:S:1:pos:R:3 pbc="T T T"
Ho 0.0000 0.0000 0.0000
Pa 3.4298 3.4298 3.4298
Re 1.7149 1.7149 1.7149
Ru 5.1447 5.1447 5.1447
```

21.
The following is a PBE calculation of an optimized crystal structure of Ho2Pa2Rh3, from Alexandria.

Output
Total DFT energy (no corrections)   -7.81 eV per atom

```
7
Lattice="6.9166 -1.9806 0.0000 6.9166 1.9806 0.0000 -0.1022 0.0000 5.8731" Properties=species:S:1:pos:R:3 pbc="T T T"
Ho 2.0188 0.0000 0.6750
Ho 11.7122 0.0000 5.1981
Pa 5.5849 0.0000 2.3298
Pa 8.1461 0.0000 3.5433
Rh 2.9899 0.0000 3.8529
Rh 6.9166 0.0000 0.0000
Rh 10.7410 0.0000 2.0202
```

22.
The following is a PBE calculation of an optimized crystal structure of Ho2PaRh4, from Alexandria.

Output
Total DFT energy (no corrections)   -7.52 eV per atom

```
7
Lattice="-2.2378 2.2378 7.1084 2.2378 -2.2378 7.1084 2.2378 2.2378 -7.1084" Properties=species:S:1:pos:R:3 pbc="T T T"
Ho 0.0000 0.0000 3.3908
Ho 0.0000 0.0000 10.8261
Pa 0.0000 0.0000 7.1084
Rh 2.2378 0.0000 1.6085
Rh 2.2378 0.0000 5.4999
Rh 0.0000 2.2378 1.6085
Rh 0.0000 2.2378 5.4999
```

23.
The following is a PBE calculation of an optimized crystal structure of HoPa2Rh, from Alexandria.

Output
Total DFT energy (no corrections)   -7.85 eV per atom

```
4
Lattice="1.7788 1.0270 9.3061 -1.7788 1.0270 9.3061 0.0000 -2.0540 9.3061" Properties=species:S:1:pos:R:3 pbc="T T T"
Ho 0.0000 0.0000 0.0000
Pa 0.0000 0.0000 6.5432
Pa 0.0000 0.0000 21.3750
Rh 0.0000 0.0000 13.9591
```

| no. | V (A^3/atom) |
| --- | --- |
| 1 | 24.0 |
| 2 | 25.5 |
| 3 | 40.5 |
| 4 | 26.0 |
| 5 | 29.5 |
| 6 | 27.6 |
| 7 | 30.8 |
| 8 | 27.6 |
| 9 | 31.1 |
| 10 | 33.0 |
| 11 | 31.1 |
| 12 | 33.1 |
| 13 | 33.9 |
| 14 | 35.1 |
| 15 | 40.1 |
| 16 | 27.0 |
| 17 | 18.3 |
| 18 | 24.4 |
| 19 | 22.8 |
| 20 | 20.2 |
| 21 | 23.0 |
| 22 | 20.3 |
| 23 | 25.5 |